Entry 1:
Entry from the Alexandria database: Ag2Br3 at its PBEsol-relaxed geometry (meta-GGA SCAN).

Properties
Excess energy over the best structure of this formula in the dataset in meV/atom: 22
Final energy in eV/atom: -24.51
Magnetic moment in μB/f.u.: 0.63
SG: R-3m
N(E_F) in states/eV per cell: 6.6

Cell: 9.1679 9.1679 9.1679 Å, 25.17 25.17 25.17°
Atoms (fractional coordinates):
1 Ag 0.1029 0.1029 0.1029
2 Ag 0.8971 0.8971 0.8971
3 Br 0.2807 0.2807 0.2807
4 Br 0.5000 0.5000 0.5000
5 Br 0.7193 0.7193 0.7193

Entry 2:
Entry from the Alexandria database: HgP at its PBEsol-relaxed geometry (meta-GGA SCAN).

Properties
Excess energy over the best structure of this formula in the dataset in meV/atom: 587
Final energy in eV/atom: -38.65
Magnetic moment in μB/f.u.: 0.00
Energy relative to the elements in meV/atom: 630
SG: P6_3/mmc
N(E_F) in states/eV per cell: 2.3

Cell: 3.8614 3.8614 6.3041 Å, 90.00 90.00 120.00°
Atoms (fractional coordinates):
1 Hg 0.0000 0.0000 0.0000
2 Hg 0.0000 0.0000 0.5000
3 P 0.3333 0.6667 0.2500
4 P 0.6667 0.3333 0.7500

Entry 3:
Entry from the Alexandria database: TcMoPt2 at its PBEsol-relaxed geometry (meta-GGA SCAN).

Properties
Excess energy over the best structure of this formula in the dataset in meV/atom: 391
Final energy in eV/atom: -52.54
Magnetic moment in μB/f.u.: 0.00
Energy relative to the elements in meV/atom: 46
SG: F-43m
N(E_F) in states/eV per cell: 3.7

Cell: 4.3875 4.3875 4.3875 Å, 60.00 60.00 60.00°
Atoms (fractional coordinates):
1 Tc 0.0000 0.0000 0.0000
2 Mo 0.2500 0.2500 0.2500
3 Pt 0.5000 0.5000 0.5000
4 Pt 0.7500 0.7500 0.7500

Entry 4:
Entry from the Alexandria database: BaHgOs2 at its PBEsol-relaxed geometry (meta-GGA SCAN).

Properties
Final energy in eV/atom: -61.35
Magnetic moment in μB/f.u.: 2.96
Energy relative to the elements in meV/atom: 1519
SG: P4/mmm
N(E_F) in states/eV per cell: 3.3

Cell: 4.2388 4.2388 4.5141 Å, 90.00 90.00 90.00°
Atoms (fractional coordinates):
1 Ba 0.0000 0.0000 0.0000
2 Hg 0.5000 0.5000 0.0000
3 Os 0.0000 0.5000 0.5000
4 Os 0.5000 0.0000 0.5000

Entry 5:
Entry from the Alexandria database: Be5Cu at its PBEsol-relaxed geometry (meta-GGA SCAN).

Properties
Final energy in eV/atom: -6.21
Magnetic moment in μB/f.u.: 0.00
Energy relative to the elements in meV/atom: -53
SG: Amm2
N(E_F) in states/eV per cell: 0.9

Cell: 3.6530 6.0985 6.0985 Å, 22.17 90.00 90.00°
Atoms (fractional coordinates):
1 Be 0.0000 0.0000 0.0000
2 Be 0.0000 0.3258 0.3258
3 Be 0.0000 0.6627 0.6627
4 Be 0.5000 0.1111 0.1111
5 Be 0.5000 0.7736 0.7736
6 Cu 0.5000 0.4407 0.4407

Entry 6:
Entry from the Alexandria database: Li2ZrFe at its PBEsol-relaxed geometry (meta-GGA SCAN).

Properties
Excess energy over the best structure of this formula in the dataset in meV/atom: 0
Final energy in eV/atom: -13.12
Magnetic moment in μB/f.u.: 0.87
Energy relative to the elements in meV/atom: 281
SG: P4/mmm
N(E_F) in states/eV per cell: 2.5

Cell: 3.5096 3.5096 4.8980 Å, 90.00 90.00 90.00°
Atoms (fractional coordinates):
1 Li 0.0000 0.5000 0.0000
2 Li 0.5000 0.0000 0.0000
3 Zr 0.0000 0.0000 0.5000
4 Fe 0.5000 0.5000 0.5000

Entry 7:
Entry from the Alexandria database: ScWBr2 at its PBEsol-relaxed geometry (meta-GGA SCAN).

Properties
Excess energy over the best structure of this formula in the dataset in meV/atom: 119
Final energy in eV/atom: -30.74
Magnetic moment in μB/f.u.: 0.00
SG: C2/m
N(E_F) in states/eV per cell: 2.6

Cell: 6.9238 6.9238 4.5495 Å, 93.16 93.16 26.92°
Atoms (fractional coordinates):
1 Sc 0.0000 0.0000 0.0000
2 W 0.5000 0.5000 0.5000
3 Br 0.3452 0.3452 0.7737
4 Br 0.6548 0.6548 0.2263

Entry 8:
Entry from the Alexandria database: Li6Ag7 at its PBEsol-relaxed geometry (meta-GGA SCAN).

Properties
Final energy in eV/atom: -18.12
Magnetic moment in μB/f.u.: 0.00
Energy relative to the elements in meV/atom: -125
SG: R-3m
N(E_F) in states/eV per cell: 3.4

Cell: 9.6787 9.6787 9.6787 Å, 32.56 32.56 32.56°
Atoms (fractional coordinates):
1 Li 0.0533 0.0533 0.0533
2 Li 0.1573 0.1573 0.1573
3 Li 0.3325 0.3325 0.3325
4 Li 0.6675 0.6675 0.6675
5 Li 0.8427 0.8427 0.8427
6 Li 0.9467 0.9467 0.9467
7 Ag 0.0830 0.5854 0.5854
8 Ag 0.4146 0.4146 0.9170
9 Ag 0.4146 0.9170 0.4146
10 Ag 0.5000 0.5000 0.5000
11 Ag 0.5854 0.0830 0.5854
12 Ag 0.5854 0.5854 0.0830
13 Ag 0.9170 0.4146 0.4146

Entry 9:
Entry from the Alexandria database: Mn8Cr at its PBEsol-relaxed geometry (meta-GGA SCAN).

Properties
Final energy in eV/atom: -18.03
Magnetic moment in μB/f.u.: 0.00
Energy relative to the elements in meV/atom: 235
SG: I4/mmm
N(E_F) in states/eV per cell: 9.8

Cell: 5.4902 5.4902 5.4902 Å, 95.72 95.72 143.21°
Atoms (fractional coordinates):
1 Mn 0.0000 0.3372 0.3372
2 Mn 0.0000 0.6628 0.6628
3 Mn 0.3295 0.3295 0.6591
4 Mn 0.3295 0.6705 0.0000
5 Mn 0.3372 0.0000 0.3372
6 Mn 0.6628 0.0000 0.6628
7 Mn 0.6705 0.3295 0.0000
8 Mn 0.6705 0.6705 0.3409
9 Cr 0.0000 0.0000 0.0000

Entry 10:
Entry from the Alexandria database: Zn2Ir at its PBEsol-relaxed geometry (meta-GGA SCAN).

Properties
Final energy in eV/atom: -32.88
Magnetic moment in μB/f.u.: 0.00
Energy relative to the elements in meV/atom: -173
SG: Fd-3m
N(E_F) in states/eV per cell: 7.1

Cell: 7.9327 7.9327 7.9327 Å, 60.00 60.00 60.00°
Atoms (fractional coordinates):
1 Zn 0.0000 0.0000 0.0000
2 Zn 0.0000 0.0000 0.5000
3 Zn 0.0000 0.5000 0.0000
4 Zn 0.1829 0.1829 0.5671
5 Zn 0.1829 0.5671 0.1829
6 Zn 0.1829 0.5671 0.5671
7 Zn 0.4329 0.4329 0.8171
8 Zn 0.4329 0.8171 0.4329
9 Zn 0.4329 0.8171 0.8171
10 Zn 0.5000 0.0000 0.0000
11 Zn 0.5671 0.1829 0.1829
12 Zn 0.5671 0.1829 0.5671
13 Zn 0.5671 0.5671 0.1829
14 Zn 0.8171 0.4329 0.4329
15 Zn 0.8171 0.4329 0.8171
16 Zn 0.8171 0.8171 0.4329
17 Ir 0.1514 0.7829 0.7829
18 Ir 0.2171 0.2171 0.2171
19 Ir 0.2171 0.2171 0.8486
20 Ir 0.2171 0.8486 0.2171
21 Ir 0.7829 0.1514 0.7829
22 Ir 0.7829 0.7829 0.1514
23 Ir 0.7829 0.7829 0.7829
24 Ir 0.8486 0.2171 0.2171

Entry 11:
Entry from the Alexandria database: ZrTeBr2 at its PBEsol-relaxed geometry (meta-GGA SCAN).

Properties
Excess energy over the best structure of this formula in the dataset in meV/atom: 191
Final energy in eV/atom: -27.42
Magnetic moment in μB/f.u.: 0.00
SG: P4mm
N(E_F) in states/eV per cell: 2.5

Cell: 3.7331 3.7331 7.5990 Å, 90.00 90.00 90.00°
Atoms (fractional coordinates):
1 Zr 0.0000 0.0000 0.0000
2 Te 0.5000 0.5000 0.8282
3 Br 0.0000 0.0000 0.6208
4 Br 0.5000 0.5000 0.2471

Entry 12:
Entry from the Alexandria database: LiBe2Ag at its PBEsol-relaxed geometry (meta-GGA SCAN).

Properties
Excess energy over the best structure of this formula in the dataset in meV/atom: 90
Final energy in eV/atom: -10.50
Magnetic moment in μB/f.u.: 0.00
Energy relative to the elements in meV/atom: 113
SG: P4/mmm
N(E_F) in states/eV per cell: 1.0

Cell: 3.7341 3.7341 3.2620 Å, 90.00 90.00 90.00°
Atoms (fractional coordinates):
1 Li 0.0000 0.0000 0.0000
2 Be 0.0000 0.5000 0.5000
3 Be 0.5000 0.0000 0.5000
4 Ag 0.5000 0.5000 0.0000

Entry 13:
Entry from the Alexandria database: HfCuSeBr2 at its PBEsol-relaxed geometry (meta-GGA SCAN).

Properties
Final energy in eV/atom: -27.12
Magnetic moment in μB/f.u.: 1.41
SG: P4/mmm
N(E_F) in states/eV per cell: 2.4

Cell: 4.6908 4.6908 4.9312 Å, 90.00 90.00 90.00°
Atoms (fractional coordinates):
1 Hf 0.0000 0.0000 0.0000
2 Cu 0.5000 0.5000 0.5000
3 Se 0.5000 0.5000 0.0000
4 Br 0.0000 0.5000 0.5000
5 Br 0.5000 0.0000 0.5000

Entry 14:
Entry from the Alexandria database: YFe2Ru at its PBEsol-relaxed geometry (meta-GGA SCAN).

Properties
Final energy in eV/atom: -24.51
Magnetic moment in μB/f.u.: 6.89
Energy relative to the elements in meV/atom: 223
SG: I4/mmm
N(E_F) in states/eV per cell: 3.9

Cell: 5.0475 5.0475 5.0475 Å, 135.82 135.82 64.26°
Atoms (fractional coordinates):
1 Y 0.0000 0.0000 0.0000
2 Fe 0.2500 0.7500 0.5000
3 Fe 0.7500 0.2500 0.5000
4 Ru 0.5000 0.5000 0.0000

Entry 15:
Entry from the Alexandria database: Zn5Ir4 at its PBEsol-relaxed geometry (meta-GGA SCAN).

Properties
Final energy in eV/atom: -39.25
Magnetic moment in μB/f.u.: 0.00
Energy relative to the elements in meV/atom: -138
SG: I4/mmm
N(E_F) in states/eV per cell: 5.4

Cell: 5.9503 5.9503 5.9503 Å, 96.07 96.07 142.04°
Atoms (fractional coordinates):
1 Zn 0.0000 0.0000 0.0000
2 Zn 0.3312 0.3312 0.6623
3 Zn 0.3312 0.6688 0.0000
4 Zn 0.6688 0.3312 0.0000
5 Zn 0.6688 0.6688 0.3377
6 Ir 0.0000 0.3309 0.3309
7 Ir 0.0000 0.6691 0.6691
8 Ir 0.3309 0.0000 0.3309
9 Ir 0.6691 0.0000 0.6691

Entry 16:
Entry from the Alexandria database: ZrCdTc2 at its PBEsol-relaxed geometry (meta-GGA SCAN).

Properties
Final energy in eV/atom: -32.79
Magnetic moment in μB/f.u.: 0.00
Energy relative to the elements in meV/atom: 13
SG: Imm2
N(E_F) in states/eV per cell: 2.2

Cell: 5.3601 5.3601 5.3601 Å, 144.41 130.45 62.49°
Atoms (fractional coordinates):
1 Zr 0.0000 0.0000 0.0000
2 Cd 0.2756 0.7756 0.5000
3 Tc 0.5365 0.5365 0.0000
4 Tc 0.7500 0.2500 0.5000

Entry 17:
Entry from the Alexandria database: Ag2RuCl at its PBEsol-relaxed geometry (meta-GGA SCAN).

Properties
Excess energy over the best structure of this formula in the dataset in meV/atom: 65
Final energy in eV/atom: -25.60
Magnetic moment in μB/f.u.: 2.10
SG: Fm-3m
N(E_F) in states/eV per cell: 4.4

Cell: 4.5996 4.5996 4.5996 Å, 60.00 60.00 60.00°
Atoms (fractional coordinates):
1 Ag 0.2500 0.2500 0.2500
2 Ag 0.7500 0.7500 0.7500
3 Ru 0.0000 0.0000 0.0000
4 Cl 0.5000 0.5000 0.5000

Entry 18:
Entry from the Alexandria database: Pr5Ir3 at its PBEsol-relaxed geometry (meta-GGA SCAN).

Properties
Final energy in eV/atom: -54.48
Magnetic moment in μB/f.u.: 0.00
Energy relative to the elements in meV/atom: -736
SG: P4/ncc
N(E_F) in states/eV per cell: 21.8

Cell: 11.1908 11.1908 6.4758 Å, 90.00 90.00 90.00°
Atoms (fractional coordinates):
1 Pr 0.0416 0.1598 0.1209
2 Pr 0.0416 0.3402 0.6209
3 Pr 0.1598 0.0416 0.6209
4 Pr 0.1598 0.4584 0.1209
5 Pr 0.2500 0.7500 0.0000
6 Pr 0.2500 0.7500 0.5000
7 Pr 0.3402 0.0416 0.1209
8 Pr 0.3402 0.4584 0.6209
9 Pr 0.4584 0.1598 0.6209
10 Pr 0.4584 0.3402 0.1209
11 Pr 0.5416 0.6598 0.8791
12 Pr 0.5416 0.8402 0.3791
13 Pr 0.6598 0.5416 0.3791
14 Pr 0.6598 0.9584 0.8791
15 Pr 0.7500 0.2500 0.0000
16 Pr 0.7500 0.2500 0.5000
17 Pr 0.8402 0.5416 0.8791
18 Pr 0.8402 0.9584 0.3791
19 Pr 0.9584 0.6598 0.3791
20 Pr 0.9584 0.8402 0.8791
21 Ir 0.0959 0.5959 0.7500
22 Ir 0.0959 0.9041 0.2500
23 Ir 0.2500 0.2500 0.3826
24 Ir 0.2500 0.2500 0.8826
25 Ir 0.4041 0.5959 0.2500
26 Ir 0.4041 0.9041 0.7500
27 Ir 0.5959 0.0959 0.2500
28 Ir 0.5959 0.4041 0.7500
29 Ir 0.7500 0.7500 0.1174
30 Ir 0.7500 0.7500 0.6174
31 Ir 0.9041 0.0959 0.7500
32 Ir 0.9041 0.4041 0.2500

Entry 19:
Entry from the Alexandria database: KCo2Hg at its PBEsol-relaxed geometry (meta-GGA SCAN).

Properties
Final energy in eV/atom: -27.35
Magnetic moment in μB/f.u.: 3.55
Energy relative to the elements in meV/atom: 422
SG: P4mm
N(E_F) in states/eV per cell: 2.9

Cell: 3.0103 3.0103 8.1309 Å, 90.00 90.00 90.00°
Atoms (fractional coordinates):
1 K 0.0000 0.0000 0.0000
2 Co 0.0000 0.0000 0.4289
3 Co 0.5000 0.5000 0.3135
4 Hg 0.5000 0.5000 0.6598

Entry 20:
Entry from the Alexandria database: Lu4InRh at its PBEsol-relaxed geometry (meta-GGA SCAN).

Properties
Final energy in eV/atom: -48.80
Magnetic moment in μB/f.u.: 0.00
Energy relative to the elements in meV/atom: -711
SG: F-43m
N(E_F) in states/eV per cell: 10.1

Cell: 9.2902 9.2902 9.2902 Å, 60.00 60.00 60.00°
Atoms (fractional coordinates):
1 Lu 0.1885 0.1885 0.8115
2 Lu 0.1885 0.8115 0.1885
3 Lu 0.1885 0.8115 0.8115
4 Lu 0.4001 0.4001 0.4001
5 Lu 0.4001 0.4001 0.7997
6 Lu 0.4001 0.7997 0.4001
7 Lu 0.5605 0.5605 0.9395
8 Lu 0.5605 0.9395 0.5605
9 Lu 0.5605 0.9395 0.9395
10 Lu 0.7997 0.4001 0.4001
11 Lu 0.8115 0.1885 0.1885
12 Lu 0.8115 0.1885 0.8115
13 Lu 0.8115 0.8115 0.1885
14 Lu 0.9395 0.5605 0.5605
15 Lu 0.9395 0.5605 0.9395
16 Lu 0.9395 0.9395 0.5605
17 In 0.1666 0.1666 0.1666
18 In 0.1666 0.1666 0.5001
19 In 0.1666 0.5001 0.1666
20 In 0.5001 0.1666 0.1666
21 Rh 0.1774 0.6075 0.6075
22 Rh 0.6075 0.1774 0.6075
23 Rh 0.6075 0.6075 0.1774
24 Rh 0.6075 0.6075 0.6075